# Mn2GaSbO6 | the Alexandria database | GGA+U | relaxed
# - VASP energy: -6.81 eV per atom
# - M_tot: 1.0000 μB per atom
data_Mn2GaSbO6
_chemical_formula_sum 'Mn6 Ga3 Sb3 O18'
_symmetry_space_group_name_H-M 'R 3'
_symmetry_Int_Tables_number 146
_symmetry_space_group_name_Hall 'R 3'
_cell_length_a 5.3495
_cell_length_b 5.3495
_cell_length_c 13.8320
_cell_angle_alpha 90.00
_cell_angle_beta 90.00
_cell_angle_gamma 120.00
loop_
_atom_site_label
_atom_site_type_symbol
_atom_site_fract_x
_atom_site_fract_y
_atom_site_fract_z
_atom_site_occupancy
Mn1 Mn 0.0000 0.0000 0.0000 1
Mn2 Mn 0.0000 0.0000 0.4973 1
Ga1 Ga 0.0000 0.0000 0.2216 1
Sb1 Sb 0.0000 0.0000 0.7163 1
O1 O 0.0579 0.3512 0.2886 1
O2 O 0.0575 0.7089 0.7885 1